(1)
Density functional theory data (GGA-PBE) for a relaxed Li2ZrN2 crystal.

## Properties
Uncorrected formation energy   -1105 meV/atom
E   -6.9107 eV per atom

a = 3.302 Å, b = 3.302 Å, c = 5.489 Å
α = 90.00°, β = 90.00°, γ = 120.00°
Positions (direct):
Li 0.333 0.667 0.383
Li 0.667 0.333 0.617
Zr 0.000 0.000 0.000
N 0.333 0.667 0.776
N 0.667 0.333 0.224



(2)
Density functional theory data (GGA-PBE) for a relaxed Y2Pd2Se crystal.

## Properties
Distance to the lowest polymorph of the same formula   2.85 kcal/mol of atoms
Uncorrected formation energy   -952 meV/atom
E   -6.3117 eV per atom

a = 8.305 Å, b = 8.305 Å, c = 8.305 Å
α = 153.53°, β = 153.53°, γ = 37.78°
Positions (direct):
Y 0.114 0.114 0.000
Y 0.886 0.886 0.000
Pd 0.250 0.750 0.500
Pd 0.750 0.250 0.500
Se 0.500 0.500 0.000



(3)
Density functional theory data (GGA-PBE) for a relaxed PrSmNpO6 crystal.

## Properties
Uncorrected formation energy   -3135 meV/atom
E   -8.9334 eV per atom

a = 5.890 Å, b = 5.890 Å, c = 9.724 Å
α = 90.00°, β = 90.00°, γ = 120.00°
Positions (direct):
Pr 0.000 0.000 0.000
Pr 0.000 0.000 0.500
Sm 0.333 0.667 0.250
Sm 0.667 0.333 0.750
Np 0.333 0.667 0.750
Np 0.667 0.333 0.250
O 0.033 0.368 0.636
O 0.033 0.666 0.864
O 0.334 0.368 0.864
O 0.334 0.967 0.636
O 0.368 0.033 0.136
O 0.368 0.334 0.364
O 0.632 0.666 0.636
O 0.632 0.967 0.864
O 0.666 0.033 0.364
O 0.666 0.632 0.136
O 0.967 0.334 0.136
O 0.967 0.632 0.364



(4)
Density functional theory data (GGA-PBE) for a relaxed Ac3IrPd3 crystal.

## Properties
Formation energy   -721 meV per atom
E   -5.9733 eV per atom

a = 10.175 Å, b = 10.175 Å, c = 10.175 Å
α = 156.06°, β = 154.17°, γ = 35.51°
Positions (direct):
Ac 0.000 0.000 0.000
Ac 0.362 0.362 0.000
Ac 0.688 0.188 0.500
Ir 0.250 0.750 0.500
Pd 0.115 0.615 0.500
Pd 0.530 0.530 0.000
Pd 0.832 0.832 0.000



(5)
Density functional theory data (GGA-PBE) for a relaxed Mn4Au3 crystal.

## Properties
Distance to the lowest polymorph of the same formula   0.00 kcal/mol of atoms
Formation energy   143 meV per atom
E   -6.5010 eV per atom

a = 11.068 Å, b = 11.068 Å, c = 11.068 Å
α = 163.31°, β = 163.31°, γ = 23.68°
Positions (direct):
Mn 0.072 0.072 0.000
Mn 0.359 0.359 0.000
Mn 0.641 0.641 0.000
Mn 0.928 0.928 0.000
Au 0.207 0.207 0.000
Au 0.500 0.500 0.000
Au 0.793 0.793 0.000



(6)
Density functional theory data (GGA-PBE) for a relaxed SnIr2S4 crystal.

## Properties
Uncorrected formation energy   -157 meV/atom
E   -5.6192 eV per atom

a = 7.699 Å, b = 7.699 Å, c = 7.699 Å
α = 129.84°, β = 129.84°, γ = 73.67°
Positions (direct):
Sn 0.375 0.125 0.250
Sn 0.625 0.875 0.750
Ir 0.000 0.000 0.500
Ir 0.000 0.500 0.000
Ir 0.000 0.500 0.500
Ir 0.500 0.500 0.000
S 0.011 0.718 0.895
S 0.218 0.824 0.708
S 0.324 0.116 0.605
S 0.384 0.489 0.208
S 0.616 0.511 0.792
S 0.676 0.884 0.395
S 0.782 0.176 0.292
S 0.989 0.282 0.105



(7)
Density functional theory data (GGA-PBE) for a relaxed Tb2Pr2Sb2H crystal.

## Properties
E   -5.1883 eV per atom

a = 9.227 Å, b = 9.227 Å, c = 9.227 Å
α = 151.18°, β = 151.18°, γ = 41.21°
Positions (direct):
Tb 0.000 0.500 0.500
Tb 0.500 0.000 0.500
Pr 0.178 0.178 0.000
Pr 0.822 0.822 0.000
Sb 0.368 0.368 0.000
Sb 0.632 0.632 0.000
H 0.000 0.000 0.000



(8)
Density functional theory data (GGA-PBE) for a relaxed KMo2 crystal.

## Properties
Distance to the lowest polymorph of the same formula   6.91 kcal/mol of atoms
Formation energy   938 meV per atom
E   -6.6485 eV per atom

a = 6.229 Å, b = 6.229 Å, c = 9.266 Å
α = 108.64°, β = 108.64°, γ = 24.67°
Positions (direct):
K 0.158 0.158 0.129
K 0.842 0.842 0.871
Mo 0.148 0.148 0.500
Mo 0.454 0.454 0.316
Mo 0.546 0.546 0.684
Mo 0.852 0.852 0.500